Computed, not measured: a geometry-optimized SrBe2Re structure at the PBE level of DFT.

SG: P4/mmm, No. 123
DOS(E_F), states/eV/atom: 0.72
Relative energy among the computed polymorphs, kJ/mol of formula units: 199.9
Electronic total energy, eV/atom: -4.5566
Energy relative to the elements, kJ/mol of formula units: 324

Unit cell a=4.7139 b=4.7139 c=2.7218 alpha=90.00 beta=90.00 gamma=90.00
Sites, in units of the cell vectors:
1 Re 0.5000 0.0000 0.5000
2 Be 0.0000 0.0000 0.0000
3 Be 0.5000 0.5000 0.0000
4 Sr 0.0000 0.5000 0.5000